Record 1
Material: SiRuCl2
Method: DFT, GGA-PBEsol
State: optimized geometry

Lattice parameters (Å, degrees): 2.9065 2.9065 26.6642 90.00 90.00 120.00
Closest atoms and distances in Å follow each position.
Space group R-3m (No. 166, hexagonal axes)
Asymmetric unit:
Si1 0.0000 0.0000 0.0000 (multiplicity 3)  6 Cl 2.79, 6 Si 2.91
Ru1 0.0000 0.0000 0.5000 (multiplicity 3)  2 Cl 2.22
Cl1 0.0000 0.0000 0.4168 (multiplicity 6)  1 Ru 2.22

Computed properties:
D(E_F)   8.8 states/eV per cell
Polymorph energy (0 for the lowest one)   350 meV per atom
ρ   5.1 g/cm³
Total moment   0.000 μB per atom
Formation energy (no corrections)   0.326 eV per atom


Record 2
Material: KRb2TlF6
Method: DFT, GGA-PBEsol
State: optimized geometry

Lattice parameters (Å, degrees): 9.2645 9.2645 9.2645 90.00 90.00 90.00
Closest atoms and distances in Å follow each position.
Space group Fm-3m (No. 225)
Asymmetric unit:
K1 0.0000 0.0000 0.0000 (multiplicity 4)  6 F 2.47
Rb1 0.2500 0.2500 0.2500 (multiplicity 8)  12 F 3.28
Tl1 0.0000 0.0000 0.5000 (multiplicity 4)  6 F 2.16
F1 0.0000 0.0000 0.2666 (multiplicity 24)  1 Tl 2.16

Computed properties:
D(E_F)   0.0 states/eV per cell
ρ   4.4 g/cm³
Total moment   0.000 μB per atom
Formation energy (no corrections)   -2.438 eV per atom